VASP calculation (PBE) on a relaxed structure of Li2NdDy2Mg5.

The structure belongs to space group P4/mbm (No. 127); the cell edges are 10.6353, 10.6353 and 4.4406 Å and the angles 90.00°, 90.00° and 90.00°. The asymmetric unit holds Li at (0.1136, 0.3864, 0.0000), Nd at (0.0000, 0.0000, 0.0000), Dy at (0.1802, 0.6802, 0.0000), Mg at (0.0000, 0.5000, 0.5000) and Mg at (0.0630, 0.2170, 0.5000).

Its total energy is -51.89 eV per cell. The calculation puts the calculated formation energy at -0.017 eV per atom.

=====

VASP calculation (PBE) on a relaxed structure of LiDyMgPb.

The structure belongs to space group F-43m (No. 216); the cell edges are 7.3360, 7.3360 and 7.3360 Å and the angles 90.00°, 90.00° and 90.00°. The asymmetric unit holds Li at (0.0000, 0.0000, 0.0000), Dy at (0.0000, 0.0000, 0.5000), Mg at (0.2500, 0.2500, 0.2500) and Pb at (0.2500, 0.2500, 0.7500).

Its total energy is -51.19 eV per cell. The calculation puts the calculated formation energy at -0.244 eV per atom.

=====

VASP calculation (PBE) on a relaxed structure of Li2DyMgPd4.

The structure belongs to space group R-3m (No. 166, hexagonal axes); the cell edges are 4.5210, 4.5210 and 22.3947 Å and the angles 90.00°, 90.00° and 120.00°. The asymmetric unit holds Li at (0.0000, 0.0000, 0.2459), Dy at (0.0000, 0.0000, 0.0000), Mg at (0.0000, 0.0000, 0.5000), Pd at (0.0000, 0.0000, 0.1275) and Pd at (0.0000, 0.0000, 0.3814).

Its total energy is -107.84 eV per cell. The calculation puts the calculated formation energy at -0.644 eV per atom.

=====

VASP calculation (PBE) on a relaxed structure of Li2Pm2DyMg5.

The structure belongs to space group P4/mbm (No. 127); the cell edges are 10.6765, 10.6765 and 4.4470 Å and the angles 90.00°, 90.00° and 90.00°. The asymmetric unit holds Li at (0.1139, 0.3861, 0.0000), Pm at (0.1810, 0.6810, 0.0000), Dy at (0.0000, 0.0000, 0.0000), Mg at (0.0000, 0.5000, 0.5000) and Mg at (0.0611, 0.2142, 0.5000).

Its total energy is -52.65 eV per cell. The calculation puts the calculated formation energy at -0.042 eV per atom.

=====

VASP calculation (PBE) on a relaxed structure of Li2PmDy2Mg5.

The structure belongs to space group P4/mbm (No. 127); the cell edges are 10.6238, 10.6238 and 4.4253 Å and the angles 90.00°, 90.00° and 90.00°. The asymmetric unit holds Li at (0.1136, 0.3864, 0.0000), Pm at (0.0000, 0.0000, 0.0000), Dy at (0.1804, 0.6804, 0.0000), Mg at (0.0000, 0.5000, 0.5000) and Mg at (0.0619, 0.2172, 0.5000).

Its total energy is -51.88 eV per cell. The calculation puts the calculated formation energy at -0.019 eV per atom.

=====

VASP calculation (PBE) on a relaxed structure of LiPrDyMg.

The structure belongs to space group F-43m (No. 216); the cell edges are 7.6522, 7.6522 and 7.6522 Å and the angles 90.00°, 90.00° and 90.00°. The asymmetric unit holds Li at (0.0000, 0.0000, 0.0000), Pr at (0.2500, 0.2500, 0.2500), Dy at (0.2500, 0.2500, 0.7500) and Mg at (0.0000, 0.0000, 0.5000).

Its total energy is -51.13 eV per cell. The calculation puts the calculated formation energy at 0.027 eV per atom.

=====

VASP calculation (PBE) on a relaxed structure of Li2PrDy2Mg5.

The structure belongs to space group P4/mbm (No. 127); the cell edges are 10.6549, 10.6549 and 4.4491 Å and the angles 90.00°, 90.00° and 90.00°. The asymmetric unit holds Li at (0.1132, 0.3868, 0.0000), Pr at (0.0000, 0.0000, 0.0000), Dy at (0.1803, 0.6803, 0.0000), Mg at (0.0000, 0.5000, 0.5000) and Mg at (0.0629, 0.2178, 0.5000).

Its total energy is -51.89 eV per cell. The calculation puts the calculated formation energy at -0.016 eV per atom.

=====

VASP calculation (PBE) on a relaxed structure of Li2Pr2DyMg5.

The structure belongs to space group P4/mbm (No. 127); the cell edges are 10.7232, 10.7232 and 4.4964 Å and the angles 90.00°, 90.00° and 90.00°. The asymmetric unit holds Li at (0.1133, 0.3867, 0.0000), Pr at (0.1816, 0.6816, 0.0000), Dy at (0.0000, 0.0000, 0.0000), Mg at (0.0000, 0.5000, 0.5000) and Mg at (0.0600, 0.2142, 0.5000).

Its total energy is -52.94 eV per cell. The calculation puts the calculated formation energy at -0.051 eV per atom.